No. 1
First-principles (PBE-GGA) data for an optimized crystal structure of LaAl4NiIr2, as listed in the Alexandria database.

a = 4.2194 Å, b = 4.2194 Å, c = 9.3038 Å
α = 76.89°, β = 76.89°, γ = 60.00°
Atoms (fractional coordinates):
La1 0.0000 0.0000 0.0000
Al1 0.4093 0.4093 0.7720
Al2 0.8662 0.8662 0.4014
Al3 0.1338 0.1338 0.5986
Al4 0.5907 0.5907 0.2280
Ni1 0.5000 0.5000 0.5000
Ir1 0.7707 0.7707 0.6878
Ir2 0.2293 0.2293 0.3122

Output
Calculated density   8.28 g/cm3
Final energy   -6.1933 eV per atom
Crystal system   trigonal
Spin magnetization   0.00 μB per formula unit
SG   No. 166
ΔE_f   -0.768 eV/atom


No. 2
First-principles (PBE-GGA) data for an optimized crystal structure of InHg3Pb5, as listed in the Alexandria database.

a = 7.4476 Å, b = 7.4476 Å, c = 11.4464 Å
α = 80.52°, β = 80.52°, γ = 77.78°
Atoms (fractional coordinates):
In1 0.1232 0.1232 0.7252
In2 0.8768 0.8768 0.2748
Hg1 0.6454 0.6454 0.7879
Hg2 0.7356 0.7356 0.5315
Hg3 0.0000 0.0000 0.0000
Hg4 0.0000 0.0000 0.5000
Hg5 0.3546 0.3546 0.2121
Hg6 0.2644 0.2644 0.4685
Pb1 0.9303 0.3202 0.2225
Pb2 0.3157 0.6843 0.0000
Pb3 0.7298 0.7298 0.0572
Pb4 0.5674 0.5674 0.3541
Pb5 0.4326 0.4326 0.6459
Pb6 0.2702 0.2702 0.9428
Pb7 0.3202 0.9303 0.2225
Pb8 0.6843 0.3157 0.0000
Pb9 0.0697 0.6798 0.7775
Pb10 0.6798 0.0697 0.7775

Output
Calculated density   9.60 g/cm3
Final energy   -2.3280 eV per atom
Crystal system   monoclinic
Spin magnetization   0.00 μB per formula unit
SG   No. 12
ΔE_f   0.137 eV/atom


No. 3
First-principles (PBE-GGA) data for an optimized crystal structure of MnAg2Se, as listed in the Alexandria database.

a = 5.4743 Å, b = 5.4743 Å, c = 5.4743 Å
α = 137.36°, β = 137.96°, γ = 61.43°
Last column: magnetic moment on the atom in μB.
Atoms (fractional coordinates):
Ag1 0.0006 0.0006 0.0000  0.02
Ag2 0.4994 0.4994 0.0000  0.02
Mn1 0.7500 0.2500 0.5000  4.12
Se1 0.2500 0.7500 0.5000  0.07

Output
Calculated density   7.89 g/cm3
Final energy   -4.4382 eV per atom
Uncorrected formation energy   0.15 eV per atom
Crystal system   orthorhombic
Spin magnetization   4.55 μB per formula unit
SG   No. 71


No. 4
First-principles (PBE-GGA) data for an optimized crystal structure of TlRePt2F, as listed in the Alexandria database.

a = 5.0933 Å, b = 4.2422 Å, c = 5.0933 Å
α = 90.00°, β = 90.00°, γ = 90.00°
Last column: magnetic moment on the atom in μB.
Atoms (fractional coordinates):
Re1 0.5000 0.5000 0.5000  3.49
Tl1 0.0000 0.0000 0.0000  -0.01
Pt1 0.0000 0.0000 0.5000  0.05
Pt2 0.5000 0.0000 0.0000  0.11
F1 0.0000 0.5000 0.0000  0.00

Output
Calculated density   12.07 g/cm3
Final energy   -4.5671 eV per atom
Uncorrected formation energy   1.19 eV per atom
Crystal system   tetragonal
Spin magnetization   4.30 μB per formula unit
SG   No. 123


No. 5
First-principles (PBE-GGA) data for an optimized crystal structure of Tb4Sm2ErTm, as listed in the Alexandria database.

a = 9.4970 Å, b = 9.4970 Å, c = 11.7812 Å
α = 128.34°, β = 128.34°, γ = 88.53°
Last column: magnetic moment on the atom in μB.
Atoms (fractional coordinates):
Tb1 0.2446 0.7525 0.9987  0.31
Tb2 0.7474 0.2554 0.5013  0.31
Tb3 0.2525 0.7446 0.4987  0.31
Tb4 0.7554 0.2475 0.0013  0.31
Tb5 0.7519 0.7471 0.9962  0.31
Tb6 0.7529 0.7481 0.5038  0.31
Tb7 0.2471 0.2519 0.4962  0.31
Tb8 0.2481 0.2529 0.0038  0.31
Sm1 0.5000 0.0000 0.0000  0.27
Sm2 0.5000 0.0000 0.5000  0.27
Sm3 0.0000 0.0000 0.5000  0.24
Sm4 0.5000 0.5000 0.0000  0.24
Er1 0.0000 0.5000 0.0000  0.29
Er2 0.0000 0.5000 0.5000  0.29
Tm1 0.5000 0.5000 0.5000  0.30
Tm2 0.0000 0.0000 0.0000  0.30

Output
Calculated density   7.96 g/cm3
Final energy   -4.1943 eV per atom
Crystal system   orthorhombic
Spin magnetization   3.26 μB per formula unit
SG   No. 74
ΔE_f   0.430 eV/atom


No. 6
First-principles (PBE-GGA) data for an optimized crystal structure of Li2CdH4, as listed in the Alexandria database.

a = 3.9230 Å, b = 3.9230 Å, c = 5.9274 Å
α = 70.68°, β = 70.68°, γ = 90.00°
Atoms (fractional coordinates):
H1 0.8144 0.8144 0.3712
H2 0.1856 0.1856 0.6288
H3 0.0000 0.5000 0.0000
H4 0.5000 0.0000 0.0000
Li1 0.6421 0.6421 0.7158
Li2 0.3579 0.3579 0.2842
Cd1 0.0000 0.0000 0.0000

Output
Calculated density   2.68 g/cm3
Final energy   -2.5675 eV per atom
Crystal system   tetragonal
Spin magnetization   0.00 μB per formula unit
SG   No. 139


No. 7
First-principles (PBE-GGA) data for an optimized crystal structure of SbCl, as listed in the Alexandria database.

a = 4.6076 Å, b = 4.3712 Å, c = 7.6276 Å
α = 90.00°, β = 91.00°, γ = 90.00°
Atoms (fractional coordinates):
Sb1 0.2157 0.2500 0.4946
Sb2 0.7843 0.7500 0.5054
Cl1 0.2625 0.2500 0.8085
Cl2 0.7375 0.7500 0.1915

Output
Calculated density   3.40 g/cm3
Final energy   -3.4580 eV per atom
Uncorrected formation energy   -0.47 eV per atom
Crystal system   monoclinic
Spin magnetization   0.00 μB per formula unit
SG   No. 11


No. 8
First-principles (PBE-GGA) data for an optimized crystal structure of SrTbGe2Pd5, as listed in the Alexandria database.

a = 4.3899 Å, b = 4.3899 Å, c = 8.9145 Å
α = 90.00°, β = 90.00°, γ = 90.00°
Atoms (fractional coordinates):
Sr1 0.0000 0.0000 0.5000
Tb1 0.0000 0.0000 0.0000
Ge1 0.5000 0.5000 0.1396
Ge2 0.5000 0.5000 0.8604
Pd1 0.0000 0.5000 0.2625
Pd2 0.5000 0.0000 0.2625
Pd3 0.0000 0.5000 0.7375
Pd4 0.5000 0.0000 0.7375
Pd5 0.5000 0.5000 0.5000

Output
Calculated density   8.93 g/cm3
Final energy   -5.2818 eV per atom
Crystal system   tetragonal
Spin magnetization   0.00 μB per formula unit
SG   No. 123
ΔE_f   -0.669 eV/atom